No. 1
Computed, not measured: a geometry-optimized CaRu structure at the PBEsol level of DFT.

Cell lengths 4.9009, 4.9009, 4.5600 Å; angles 90.00, 90.00, 120.00 degrees
Fractional coordinates of all 4 atoms:
Ca: 0.3333 0.6667 0.2500
Ca: 0.6667 0.3333 0.7500
Ru: 0.0000 0.0000 0.0000
Ru: 0.0000 0.0000 0.5000

Results
Its density of states at the Fermi level is 5.77 states/eV/cell.

No. 2
Computed, not measured: a geometry-optimized CaRuS2 structure at the PBEsol level of DFT.

Cell lengths 3.7289, 3.7289, 23.1949 Å; angles 90.00, 90.00, 120.00 degrees
Fractional coordinates of all 12 atoms:
Ca: 0.0000 0.0000 0.0000
Ca: 0.3333 0.6667 0.6667
Ca: 0.6667 0.3333 0.3333
Ru: 0.0000 0.0000 0.5000
Ru: 0.3333 0.6667 0.1667
Ru: 0.6667 0.3333 0.8333
S: 0.0000 0.0000 0.4049
S: 0.0000 0.0000 0.5951
S: 0.3333 0.6667 0.0715
S: 0.3333 0.6667 0.2618
S: 0.6667 0.3333 0.7382
S: 0.6667 0.3333 0.9285

Results
For the uncorrected formation energy, the calculation gives -0.186 eV/atom. Its density of states at the Fermi level is 12.01 states/eV/cell.

No. 3
Computed, not measured: a geometry-optimized CaSbRu structure at the PBEsol level of DFT.

Cell lengths 3.3332, 3.3332, 11.2656 Å; angles 90.00, 90.00, 90.00 degrees
Fractional coordinates of all 6 atoms:
Ca: 0.0000 0.0000 0.0000
Ca: 0.5000 0.5000 0.5000
Sb: 0.0000 0.0000 0.7090
Sb: 0.5000 0.5000 0.2090
Ru: 0.0000 0.0000 0.3173
Ru: 0.5000 0.5000 0.8173

Results
For the uncorrected formation energy, the calculation gives -0.294 eV/atom. Its density of states at the Fermi level is 4.01 states/eV/cell.

No. 4
Computed, not measured: a geometry-optimized CaSbRu structure at the PBEsol level of DFT.

Cell lengths 4.5518, 4.5518, 3.5158 Å; angles 90.00, 90.00, 120.00 degrees
Fractional coordinates of all 3 atoms:
Ca: 0.0000 0.0000 0.0000
Sb: 0.6667 0.3333 0.5000
Ru: 0.3333 0.6667 0.5000

Results
For the uncorrected formation energy, the calculation gives -0.253 eV/atom. Its density of states at the Fermi level is 2.26 states/eV/cell.

No. 5
Computed, not measured: a geometry-optimized CaSbRu2 structure at the PBEsol level of DFT.

Cell lengths 3.0611, 4.5289, 10.1463 Å; angles 90.00, 90.00, 90.00 degrees
Fractional coordinates of all 8 atoms:
Ca: 0.0000 0.0000 0.0000
Ca: 0.5000 0.5000 0.5000
Sb: 0.0000 0.5000 0.2204
Sb: 0.5000 0.0000 0.7204
Ru: 0.0000 0.0000 0.4996
Ru: 0.0000 0.5000 0.7822
Ru: 0.5000 0.0000 0.2822
Ru: 0.5000 0.5000 0.9996

Results
For the uncorrected formation energy, the calculation gives 0.123 eV/atom. Its density of states at the Fermi level is 7.36 states/eV/cell.

No. 6
Computed, not measured: a geometry-optimized CaSbRu2 structure at the PBEsol level of DFT.

Cell lengths 3.1133, 3.1133, 26.7810 Å; angles 90.00, 90.00, 120.00 degrees
Fractional coordinates of all 12 atoms:
Ca: 0.0000 0.0000 0.0000
Ca: 0.3333 0.6667 0.6667
Ca: 0.6667 0.3333 0.3333
Sb: 0.0000 0.0000 0.2293
Sb: 0.3333 0.6667 0.8960
Sb: 0.6667 0.3333 0.5627
Ru: 0.0000 0.0000 0.4873
Ru: 0.0000 0.0000 0.7501
Ru: 0.3333 0.6667 0.1539
Ru: 0.3333 0.6667 0.4168
Ru: 0.6667 0.3333 0.0834
Ru: 0.6667 0.3333 0.8206

Results
For the uncorrected formation energy, the calculation gives 0.442 eV/atom. Its density of states at the Fermi level is 14.22 states/eV/cell.

No. 7
Computed, not measured: a geometry-optimized CaSbRu2 structure at the PBEsol level of DFT.

Cell lengths 3.0697, 4.6424, 5.1690 Å; angles 90.00, 105.37, 90.00 degrees
Fractional coordinates of all 4 atoms:
Ca: 0.0000 0.0000 0.0000
Sb: 0.3996 0.5000 0.7538
Ru: 0.3228 0.0000 0.4925
Ru: 0.7117 0.5000 0.3234

Results
For the uncorrected formation energy, the calculation gives 0.144 eV/atom. Its density of states at the Fermi level is 3.06 states/eV/cell.

No. 8
Computed, not measured: a geometry-optimized CaScRu structure at the PBEsol level of DFT.

Cell lengths 3.3098, 3.3098, 11.9770 Å; angles 90.00, 90.00, 90.00 degrees
Fractional coordinates of all 6 atoms:
Ca: 0.0000 0.0000 0.0000
Ca: 0.5000 0.5000 0.5000
Sc: 0.0000 0.0000 0.7394
Sc: 0.5000 0.5000 0.2394
Ru: 0.0000 0.0000 0.3430
Ru: 0.5000 0.5000 0.8430

Results
Its density of states at the Fermi level is 3.69 states/eV/cell.

No. 9
Computed, not measured: a geometry-optimized Ca2ScRu structure at the PBEsol level of DFT.

Cell lengths 4.2168, 4.2168, 9.9829 Å; angles 90.00, 90.00, 90.00 degrees
Fractional coordinates of all 8 atoms:
Ca: 0.0000 0.5000 0.2500
Ca: 0.0000 0.5000 0.7500
Ca: 0.5000 0.0000 0.2500
Ca: 0.5000 0.0000 0.7500
Sc: 0.0000 0.0000 0.0000
Sc: 0.5000 0.5000 0.5000
Ru: 0.0000 0.0000 0.5000
Ru: 0.5000 0.5000 0.0000

Results
The value obtained for the energy above the lowest structure with this stoichiometry is 299 meV/atom. Its density of states at the Fermi level is 5.40 states/eV/cell.

No. 10
Computed, not measured: a geometry-optimized Ca2ScRu structure at the PBEsol level of DFT.

Cell lengths 7.5662, 4.3543, 7.1269 Å; angles 90.00, 110.64, 90.00 degrees
Fractional coordinates of all 8 atoms:
Ca: 0.0000 0.0000 0.0000
Ca: 0.1963 0.0000 0.5912
Ca: 0.5000 0.5000 0.0000
Ca: 0.6963 0.5000 0.5912
Sc: 0.2647 0.5000 0.2935
Sc: 0.7647 0.0000 0.2935
Ru: 0.4313 0.0000 0.2923
Ru: 0.9313 0.5000 0.2923

Results
The value obtained for the energy above the lowest structure with this stoichiometry is 35 meV/atom. Its density of states at the Fermi level is 6.34 states/eV/cell.

No. 11
Computed, not measured: a geometry-optimized CaScRu2 structure at the PBEsol level of DFT.

Cell lengths 3.2208, 4.8926, 8.6155 Å; angles 90.00, 90.00, 90.00 degrees
Fractional coordinates of all 8 atoms:
Ca: 0.0000 0.0000 0.0000
Ca: 0.5000 0.5000 0.0000
Sc: 0.0000 0.0000 0.5000
Sc: 0.5000 0.5000 0.5000
Ru: 0.0000 0.5000 0.2660
Ru: 0.0000 0.5000 0.7340
Ru: 0.5000 0.0000 0.2660
Ru: 0.5000 0.0000 0.7340

Results
Its density of states at the Fermi level is 5.57 states/eV/cell.

No. 12
Computed, not measured: a geometry-optimized CaScRu4 structure at the PBEsol level of DFT.

Cell lengths 5.1842, 5.1842, 5.1842 Å; angles 60.00, 60.00, 60.00 degrees
Fractional coordinates of all 6 atoms:
Ca: 0.0000 0.0000 0.0000
Sc: 0.7500 0.7500 0.7500
Ru: 0.3752 0.3752 0.3752
Ru: 0.3752 0.3752 0.8743
Ru: 0.3752 0.8743 0.3752
Ru: 0.8743 0.3752 0.3752

Results
Its density of states at the Fermi level is 9.48 states/eV/cell.

No. 13
Computed, not measured: a geometry-optimized Ca2ScRu structure at the PBEsol level of DFT.

Cell lengths 3.2539, 4.1654, 16.2299 Å; angles 90.00, 90.00, 90.00 degrees
Fractional coordinates of all 8 atoms:
Ca: 0.0000 0.0000 0.1561
Ca: 0.0000 0.0000 0.8439
Ca: 0.5000 0.5000 0.3439
Ca: 0.5000 0.5000 0.6561
Sc: 0.0000 0.5000 0.0000
Sc: 0.5000 0.0000 0.5000
Ru: 0.0000 0.5000 0.5000
Ru: 0.5000 0.0000 0.0000

Results
The value obtained for the energy above the lowest structure with this stoichiometry is 0 meV/atom. Its density of states at the Fermi level is 6.57 states/eV/cell.

No. 14
Computed, not measured: a geometry-optimized Ca2ScRu structure at the PBEsol level of DFT.

Cell lengths 5.7421, 9.3282, 3.3655 Å; angles 90.00, 90.00, 90.00 degrees
Fractional coordinates of all 8 atoms:
Ca: 0.2500 0.2500 0.0000
Ca: 0.2500 0.7500 0.0000
Ca: 0.7500 0.2500 0.0000
Ca: 0.7500 0.7500 0.0000
Sc: 0.0000 0.0000 0.5000
Sc: 0.5000 0.5000 0.5000
Ru: 0.0000 0.5000 0.5000
Ru: 0.5000 0.0000 0.5000

Results
The value obtained for the energy above the lowest structure with this stoichiometry is 452 meV/atom. Its density of states at the Fermi level is 9.36 states/eV/cell.

No. 15
Computed, not measured: a geometry-optimized CaScRu2 structure at the PBEsol level of DFT.

Cell lengths 3.1175, 4.5967, 9.7473 Å; angles 90.00, 90.00, 90.00 degrees
Fractional coordinates of all 8 atoms:
Ca: 0.0000 0.0000 0.0000
Ca: 0.5000 0.5000 0.5000
Sc: 0.0000 0.5000 0.2213
Sc: 0.5000 0.0000 0.7213
Ru: 0.0000 0.0000 0.4739
Ru: 0.0000 0.5000 0.7611
Ru: 0.5000 0.0000 0.2611
Ru: 0.5000 0.5000 0.9739

Results
Its density of states at the Fermi level is 7.15 states/eV/cell.

Number 1: DFT total energy -5.7586 eV/atom. Number 2: DFT total energy -5.4546 eV/atom. Number 3: DFT total energy -5.9151 eV/atom. Number 4: DFT total energy -5.8742 eV/atom. Number 5: DFT total energy -6.6357 eV/atom. Number 6: DFT total energy -6.3166 eV/atom. Number 7: DFT total energy -6.6145 eV/atom. Number 8: DFT total energy -6.4375 eV/atom. Number 9: DFT total energy -4.9269 eV/atom. Number 10: DFT total energy -5.1912 eV/atom. Number 11: DFT total energy -7.1125 eV/atom. Number 12: DFT total energy -8.2683 eV/atom. Number 13: DFT total energy -5.2260 eV/atom. Number 14: DFT total energy -4.7745 eV/atom. Number 15: DFT total energy -7.2081 eV/atom.